Fe2SbMo | PBE | optimized geometry

The structure in CIF format:
```
data_Fe2SbMo
_chemical_formula_sum 'Fe2 Sb1 Mo1'
_symmetry_space_group_name_H-M 'P 1'
_symmetry_Int_Tables_number 1
_cell_length_a 5.018
_cell_length_b 5.018
_cell_length_c 5.018
_cell_angle_alpha 141.50
_cell_angle_beta 129.07
_cell_angle_gamma 65.61
loop_
_symmetry_equiv_pos_as_xyz
'x,y,z'
loop_
_atom_site_label
_atom_site_fract_x
_atom_site_fract_y
_atom_site_fract_z
Fe1 0.996 0.996 0.000
Fe2 0.504 0.504 0.000
Mo1 0.750 0.250 0.500
Sb1 0.250 0.750 0.500
```

Values from the calculation:
SG   No. 71
Total DFT energy (no corrections)   -7.658 eV/atom
M_tot   4.3 Bohr magnetons per cell
ΔE_f (raw)   0.311 eV/atom